ScZnCl2 | Alexandria via LeMat-Bulk | PBE | optimized geometry; N(E_F) = 5.62 states/eV per cell; magnetization = 2.000 Bohr magnetons per cell; energy above the most stable polymorph in this dataset = 0.2699 eV/atom; symmetry = I-42d (122)
1.0
-3.856 3.856 5.627
3.856 -3.856 5.627
3.856 3.856 -5.627
Sc Zn Cl
2 2 4
direct
0.000 0.000 0.000
0.750 0.250 0.500
0.250 0.750 0.500
0.500 0.500 0.000
0.375 0.203 0.328
0.797 0.125 0.172
0.875 0.047 0.672
0.953 0.625 0.828